## A
A relaxed Zn3GaCu2 crystal. Source: the Alexandria database, functional PBE.

Output
total magnetization: 0.00 μB/cell
ρ: 7.31 g cm⁻³
space group: C2/c, No. 15

Structure (POSCAR):
```
Zn3GaCu2
1.0
3.7096 -4.2871 0.0000
3.7096 4.2871 0.0000
-0.7648 0.0000 5.6177
Zn Ga Cu
6 2 4
Cartesian
0.5959 0.2808 5.4677
3.1360 2.5548 4.2132
0.9783 -0.2808 2.6588
5.6761 0.2808 2.9588
3.5184 -2.5548 1.4044
6.0585 -0.2808 0.1500
3.1360 0.0747 4.2132
3.5184 -0.0747 1.4044
2.3071 2.0767 1.8387
4.7297 2.0767 0.9701
1.9247 -2.0767 4.6476
4.3473 -2.0767 3.7789
```


## B
A relaxed Zn3GaCu2 crystal. Source: the Alexandria database, functional PBE.

Output
total magnetization: 0.00 μB/cell
ρ: 7.61 g cm⁻³
space group: C2/m, No. 12

Structure (POSCAR):
```
Zn3GaCu2
1.0
6.3255 -2.0918 0.0000
6.3255 2.0918 0.0000
-0.5733 0.0000 6.4789
Zn Ga Cu
6 2 4
Cartesian
0.6405 0.0000 2.2627
3.5663 0.0000 3.6362
4.4869 0.0000 6.0370
7.5909 0.0000 0.4419
8.5116 0.0000 2.8427
11.4374 0.0000 4.2162
1.3205 0.0000 5.2453
10.7573 0.0000 1.2336
2.9220 0.0000 1.1323
5.5670 0.0000 2.0570
6.5109 0.0000 4.4219
9.1558 0.0000 5.3466
```


The structure with the most favorable energy is B; the runner-up is 0.118 eV/atom above it.


## A
A relaxed Zn5Ga2Cu12 crystal. Source: the Alexandria database, functional PBE.

Output
total magnetization: 0.00 μB/cell
ρ: 8.07 g cm⁻³
space group: C2/m, No. 12

Structure (POSCAR):
```
Zn5Ga2Cu12
1.0
5.6626 -3.8284 0.0000
5.6626 3.8284 0.0000
-5.5599 0.0000 5.8334
Zn Ga Cu
5 2 12
Cartesian
0.0000 0.0000 0.0000
2.3674 0.0000 1.0890
-1.3122 0.0000 5.0985
7.0775 0.0000 0.7350
3.3979 0.0000 4.7444
2.8827 1.8962 2.9167
2.8827 -1.8962 2.9167
-0.4973 2.1059 4.0292
-1.1805 0.0000 2.4943
3.9315 2.0822 0.6622
1.8338 2.0822 5.1712
1.0311 0.0000 3.7842
6.2626 2.1059 1.8043
-0.4973 -2.1059 4.0292
4.7342 0.0000 2.0492
3.9315 -2.0822 0.6622
1.8338 -2.0822 5.1712
6.9458 0.0000 3.3392
6.2626 -2.1059 1.8043
```


## B
A relaxed Zn5Ga2Cu12 crystal. Source: the Alexandria database, functional PBE.

Output
total magnetization: 0.00 μB/cell
ρ: 8.19 g cm⁻³
space group: C2/m, No. 12

Structure (POSCAR):
```
Zn5Ga2Cu12
1.0
6.2880 -4.1681 0.0000
6.2880 4.1681 0.0000
-0.9829 0.0000 4.7546
Zn Ga Cu
5 2 12
Cartesian
0.0000 0.0000 0.0000
1.8787 0.0000 4.7304
3.7309 0.0000 2.9091
7.8623 0.0000 1.8455
9.7145 0.0000 0.0242
5.7966 2.3053 2.3773
5.7966 -2.3053 2.3773
3.4817 2.0104 1.4126
1.3532 0.0000 2.0778
4.1332 2.0521 4.2560
7.4600 2.0521 0.4986
5.4180 0.0000 0.9830
8.1115 2.0104 3.3420
3.4817 -2.0104 1.4126
6.1752 0.0000 3.7716
4.1332 -2.0521 4.2560
7.4600 -2.0521 0.4986
10.2400 0.0000 2.6769
8.1115 -2.0104 3.3420
```


The structure with the most favorable energy is B; the runner-up is 0.017 eV/atom above it.